1.
Below is an optimized crystal structure of ZrB3Rh6, with properties calculated at the PBE-GGA level.

Cell and atoms, written as CIF:
```
data_ZrB3Rh6
_chemical_formula_sum 'Zr1 B3 Rh6'
_symmetry_space_group_name_H-M 'P 1'
_symmetry_Int_Tables_number 1
_cell_length_a 5.3810
_cell_length_b 5.3810
_cell_length_c 6.0638
_cell_angle_alpha 90.00
_cell_angle_beta 116.34
_cell_angle_gamma 120.00
loop_
_symmetry_equiv_pos_as_xyz
'x,y,z'
loop_
_atom_site_label
_atom_site_type_symbol
_atom_site_fract_x
_atom_site_fract_y
_atom_site_fract_z
_atom_site_occupancy
B1 B 0.3196 0.6598 0.9794 1
B2 B 0.6532 0.3266 0.9799 1
B3 B 0.2462 0.1231 0.3693 1
Rh1 Rh 0.3047 0.4071 0.6925 1
Rh2 Rh 0.7949 0.3878 0.6925 1
Rh3 Rh 0.5640 0.4836 0.2380 1
Rh4 Rh 0.2854 0.8976 0.6925 1
Rh5 Rh 0.1576 0.6740 0.2380 1
Rh6 Rh 0.7544 0.0804 0.2380 1
Zr1 Zr 0.9199 0.9599 0.8798 1
```

## Properties
Crystal system: trigonal

2.
Below is an optimized crystal structure of ZrB6Rh12, with properties calculated at the PBE-GGA level.

Cell and atoms, written as CIF:
```
data_ZrB6Rh12
_chemical_formula_sum 'Zr1 B6 Rh12'
_symmetry_space_group_name_H-M 'P 1'
_symmetry_Int_Tables_number 1
_cell_length_a 6.4730
_cell_length_b 6.4730
_cell_length_c 6.4730
_cell_angle_alpha 104.55
_cell_angle_beta 104.55
_cell_angle_gamma 104.55
loop_
_symmetry_equiv_pos_as_xyz
'x,y,z'
loop_
_atom_site_label
_atom_site_type_symbol
_atom_site_fract_x
_atom_site_fract_y
_atom_site_fract_z
_atom_site_occupancy
Rh1 Rh 0.8672 0.1328 0.5000 1
Rh2 Rh 0.5000 0.1328 0.8672 1
Rh3 Rh 0.5558 0.8163 0.5558 1
Rh4 Rh 0.4442 0.1837 0.4442 1
Rh5 Rh 0.8672 0.5000 0.1328 1
Rh6 Rh 0.1328 0.8672 0.5000 1
Rh7 Rh 0.5558 0.5558 0.8163 1
Rh8 Rh 0.5000 0.8672 0.1328 1
Rh9 Rh 0.1837 0.4442 0.4442 1
Rh10 Rh 0.8163 0.5558 0.5558 1
Rh11 Rh 0.1328 0.5000 0.8672 1
Rh12 Rh 0.4442 0.4442 0.1837 1
B1 B 0.2360 0.6755 0.2360 1
B2 B 0.6755 0.2360 0.2360 1
B3 B 0.3245 0.7640 0.7640 1
B4 B 0.7640 0.3245 0.7640 1
B5 B 0.7640 0.7640 0.3245 1
B6 B 0.2360 0.2360 0.6755 1
Zr1 Zr 0.0000 0.0000 0.0000 1
```

## Properties
Crystal system: trigonal

Number 1: formation energy from the elements -0.418 eV per atom. Number 2: formation energy from the elements -0.269 eV per atom.